*P*
Compound: PmHoMgAg
Source: Alexandria
Functional: PBE
Structure: optimized geometry

Results
The size of the total moment comes out at 0.00 μB/f.u.

Cell: 3.7608 3.7608 7.3867 Å, 90.00 90.00 90.00°
Atoms (fractional coordinates):
Mg  0.5000  0.5000  0.5963
Pm  0.0000  0.0000  0.8626
Ho  0.0000  0.0000  0.3460
Ag  0.5000  0.5000  0.1231

***

*Q*
Compound: PmHoMgAg
Source: Alexandria
Functional: PBE
Structure: optimized geometry

Results
The size of the total moment comes out at 0.00 μB/f.u.

Cell: 5.2962 5.2962 5.2962 Å, 60.00 60.00 60.00°
Atoms (fractional coordinates):
Pm  0.5000  0.5000  0.5000
Ho  0.0000  0.0000  0.0000
Mg  0.7500  0.7500  0.7500
Ag  0.2500  0.2500  0.2500

***

Which structure is the most stable? The one labeled *P*.

***

*P*
Compound: HoTmMgAg
Source: Alexandria
Functional: PBE
Structure: optimized geometry

Results
The size of the total moment comes out at 0.00 μB/f.u.

Cell: 3.6977 3.6977 7.2607 Å, 90.00 90.00 90.00°
Atoms (fractional coordinates):
Ho  0.0000  0.0000  0.3667
Ag  0.5000  0.5000  0.6113
Mg  0.5000  0.5000  0.1039
Tm  0.0000  0.0000  0.8461

***

*Q*
Compound: HoTmMgAg
Source: Alexandria
Functional: PBE
Structure: optimized geometry

Results
The size of the total moment comes out at 0.00 μB/f.u.

Cell: 5.2013 5.2013 5.2013 Å, 60.00 60.00 60.00°
Atoms (fractional coordinates):
Mg  0.7500  0.7500  0.7500
Ag  0.2500  0.2500  0.2500
Tm  0.5000  0.5000  0.5000
Ho  0.0000  0.0000  0.0000

***

Which structure is the most stable? The one labeled *P*.

***

*P*
Compound: YHoMgAg
Source: Alexandria
Functional: PBE
Structure: optimized geometry

Results
The size of the total moment comes out at 0.00 μB/f.u.

Cell: 5.2402 5.2402 5.2402 Å, 60.00 60.00 60.00°
Atoms (fractional coordinates):
Ho  0.5000  0.5000  0.5000
Mg  0.2500  0.2500  0.2500
Y  0.0000  0.0000  0.0000
Ag  0.7500  0.7500  0.7500

***

*Q*
Compound: YHoMgAg
Source: Alexandria
Functional: PBE
Structure: optimized geometry

Results
The size of the total moment comes out at 0.00 μB/f.u.

Cell: 3.7221 3.7221 7.3182 Å, 90.00 90.00 90.00°
Atoms (fractional coordinates):
Ho  0.0000  0.0000  0.8466
Ag  0.5000  0.5000  0.6122
Mg  0.5000  0.5000  0.1041
Y  0.0000  0.0000  0.3651

***

Which structure is the most stable? The one labeled *Q*.

***

*P*
Compound: NaHoAg2
Source: Alexandria
Functional: PBE
Structure: optimized geometry

Results
The size of the total moment comes out at 0.00 μB/f.u.

Cell: 3.6511 3.6511 9.1766 Å, 78.53 78.53 60.00°
Atoms (fractional coordinates):
Ho  0.0000  0.0000  0.0000
Ag  0.2534  0.2534  0.2398
Na  0.5000  0.5000  0.5000
Ag  0.7466  0.7466  0.7602

***

*Q*
Compound: NaHoAg2
Source: Alexandria
Functional: PBE
Structure: optimized geometry

Results
The size of the total moment comes out at 0.00 μB/f.u.

Cell: 3.6006 3.6006 7.4668 Å, 90.00 90.00 90.00°
Atoms (fractional coordinates):
Ho  0.5000  0.5000  0.0000
Na  0.5000  0.5000  0.5000
Ag  0.0000  0.0000  0.7740
Ag  0.0000  0.0000  0.2260

***

Which structure is the most stable? The one labeled *Q*.